## K2AsO (PBE)

Data for a relaxed K2AsO crystal.

The raw total energy is -2.9829 eV/atom. The crystal system is cubic. The formation energy (no corrections) is -0.03 eV/atom. The calculation puts the magnetization at 3.0 μB/cell.

POSCAR file:
```
K2AsO
1.0
0.0000 3.7851 3.7851
3.7851 0.0000 3.7851
3.7851 3.7851 0.0000
K As O
2 1 1
Cartesian
1.8926 1.8926 1.8926
5.6777 5.6777 5.6777
0.0000 0.0000 0.0000
3.7851 3.7851 3.7851
```